[1]
The following is a DFT calculation (PBE) of a geometry-optimized AlAsO structure.

Lattice parameters (Å, degrees): 2.7328 2.7328 5.2744 90.00 90.00 90.00
With the nearest neighbours (Å) after each atom.
Atoms (fractional coordinates):
Al (0.0000, 0.0000, 0.0000)  4 O 1.93
As (0.0000, 0.0000, 0.5000)  2 Al 2.64, 4 As 2.73
O (0.5000, 0.5000, 0.0000)  4 Al 1.93

Space-group type ... No. 123
Energy above the lowest structure with this stoichiometry ... 179 meV/atom
Size of the total moment ... 0.0 μB/f.u.


[2]
The following is a DFT calculation (PBE) of a geometry-optimized InAu3O structure.

Lattice parameters (Å, degrees): 4.5982 4.5982 4.5982 90.00 90.00 90.00
With the nearest neighbours (Å) after each atom.
Atoms (fractional coordinates):
In (0.0000, 0.0000, 0.0000)  12 Au 3.25
Au (0.0000, 0.5000, 0.5000)  2 O 2.30
Au (0.5000, 0.0000, 0.5000)  2 O 2.30
Au (0.5000, 0.5000, 0.0000)  2 O 2.30
O (0.5000, 0.5000, 0.5000)  6 Au 2.30

Space-group type ... No. 221
Energy above the lowest structure with this stoichiometry ... 0 meV/atom
Size of the total moment ... 0.0 μB/f.u.